# 1
Below is a geometry-optimized SrLi2Rh3 structure, with properties calculated at the PBE level.

Cell: 5.2983 6.8058 6.8058 Å, 77.56 67.09 67.09°
With the nearest neighbours (Å) after each atom.
Element x y z (fractional)
Li 0.3335 0.4168 0.4168  6 Rh 2.62-2.63
Rh 0.5000 0.0000 0.5000  4 Li 2.63, 4 Rh 2.65
Sr 0.0002 0.2500 0.2500  6 Li 3.06, 12 Rh 3.40
Rh 0.5000 0.5000 0.0000  4 Li 2.63, 4 Rh 2.65
Li 0.6665 0.5832 0.5832  6 Rh 2.62-2.63
Li 0.6670 0.0832 0.0832  6 Rh 2.62-2.63
Rh 0.5000 0.7500 0.2500  4 Li 2.62, 4 Rh 2.65
Rh 0.0000 0.7500 0.2500  4 Li 2.62, 4 Rh 2.65
Li 0.3330 0.9168 0.9168  6 Rh 2.62-2.63
Sr 0.9998 0.7500 0.7500  6 Li 3.06, 12 Rh 3.40
Rh 0.0000 0.2500 0.7500  4 Li 2.62, 4 Rh 2.65
Rh 0.5000 0.2500 0.7500  4 Li 2.62, 4 Rh 2.65

As for the density of states at the Fermi level: 0.70 states/eV/atom. As for the energy: -57.14 eV for the cell shown.

---

# 2
Below is a geometry-optimized TbPRhO structure, with properties calculated at the PBE level.

Cell: 3.9658 3.9658 8.0736 Å, 90.00 90.00 90.00°
With the nearest neighbours (Å) after each atom.
Element x y z (fractional)
O 0.5000 0.5000 0.5000  4 Tb 2.27
Tb 0.0000 0.5000 0.3636  4 O 2.27
Tb 0.5000 0.0000 0.6364  4 O 2.27
P 0.5000 0.0000 0.1593  4 Rh 2.36
Rh 0.5000 0.5000 0.0000  4 P 2.36
P 0.0000 0.5000 0.8407  4 Rh 2.36
O 0.0000 0.0000 0.5000  4 Tb 2.27
Rh 0.0000 0.0000 0.0000  4 P 2.36

The uncorrected formation energy comes out at -2.056 eV per atom. As for the density of states at the Fermi level: 0.60 states/eV/atom. As for the energy: -61.15 eV for the cell shown.